No. 1
Material: Nb2Si2Bi
Method: DFT, PBE
State: relaxed

## Properties
- Uncorrected formation energy: -51 meV per atom
- Mass density: 8.3 g/cm³
- Space-group type: P4/mbm, No. 127

Structure (CIF):
```
data_Nb2Si2Bi
_chemical_formula_sum 'Nb4 Si4 Bi2'
_symmetry_space_group_name_H-M 'P 1'
_symmetry_Int_Tables_number 1
_symmetry_space_group_name_Hall 'P 1'
_cell_length_a 7.246
_cell_length_b 7.246
_cell_length_c 3.436
_cell_angle_alpha 90.00
_cell_angle_beta 90.00
_cell_angle_gamma 90.00
loop_
_atom_site_label
_atom_site_type_symbol
_atom_site_fract_x
_atom_site_fract_y
_atom_site_fract_z
Nb1 Nb 0.167 0.333 0.000
Nb2 Nb 0.333 0.833 0.000
Nb3 Nb 0.667 0.167 0.000
Nb4 Nb 0.833 0.667 0.000
Si1 Si 0.119 0.619 0.500
Si2 Si 0.381 0.119 0.500
Si3 Si 0.619 0.881 0.500
Si4 Si 0.881 0.381 0.500
Bi1 Bi 0.000 0.000 0.500
Bi2 Bi 0.500 0.500 0.500
```

No. 2
Material: TbTmCdSi
Method: DFT, PBE
State: relaxed

## Properties
- Uncorrected formation energy: -373 meV per atom
- Mass density: 8.4 g/cm³
- Space-group type: F-43m, No. 216

Structure (CIF):
```
data_TbTmCdSi
_chemical_formula_sum 'Tb1 Tm1 Cd1 Si1'
_symmetry_space_group_name_H-M 'P 1'
_symmetry_Int_Tables_number 1
_symmetry_space_group_name_Hall 'P 1'
_cell_length_a 5.078
_cell_length_b 5.078
_cell_length_c 5.078
_cell_angle_alpha 60.00
_cell_angle_beta 60.00
_cell_angle_gamma 60.00
loop_
_atom_site_label
_atom_site_type_symbol
_atom_site_fract_x
_atom_site_fract_y
_atom_site_fract_z
Tb1 Tb 0.000 0.000 0.000
Tm1 Tm 0.500 0.500 0.500
Cd1 Cd 0.750 0.750 0.750
Si1 Si 0.250 0.250 0.250
```

No. 3
Material: TiZn2Co
Method: DFT, PBE
State: relaxed

## Properties
- Mass density: 7.2 g/cm³
- Energy relative to the elements: -0.073 eV per atom
- Space-group type: P4/mmm, No. 123

Structure (CIF):
```
data_TiZn2Co
_chemical_formula_sum 'Ti1 Zn2 Co1'
_symmetry_space_group_name_H-M 'P 1'
_symmetry_Int_Tables_number 1
_symmetry_space_group_name_Hall 'P 1'
_cell_length_a 2.881
_cell_length_b 2.881
_cell_length_c 6.586
_cell_angle_alpha 90.00
_cell_angle_beta 90.00
_cell_angle_gamma 90.00
loop_
_atom_site_label
_atom_site_type_symbol
_atom_site_fract_x
_atom_site_fract_y
_atom_site_fract_z
Ti1 Ti 0.000 0.000 0.000
Zn1 Zn 0.500 0.500 0.284
Zn2 Zn 0.500 0.500 0.716
Co1 Co 0.000 0.000 0.500
```

- The highest mass density belongs to which entry?
  TbTmCdSi